# 1
Entry from Alexandria: Te3Ir after structural relaxation (PBE-GGA).

a = 3.2010 Å, b = 3.2010 Å, c = 10.2293 Å
α = 90.00°, β = 90.00°, γ = 89.83°
Positions (direct):
Ir1 0.0000 0.0000 0.0000
Te1 0.5000 0.5000 0.8291
Te2 0.0000 0.0000 0.5000
Te3 0.5000 0.5000 0.1709

energy relative to the elements, uncorrected	237	meV per atom
calculated volume	26.204	Å³/atom

=====

# 2
Entry from Alexandria: MgAuCl2 after structural relaxation (PBE-GGA).

a = 6.7984 Å, b = 6.7984 Å, c = 6.9854 Å
α = 60.88°, β = 60.88°, γ = 90.00°
Positions (direct):
Mg1 0.5000 0.5000 0.0000
Mg2 0.2500 0.7500 0.5000
Au1 0.0000 0.0000 0.0000
Au2 0.7500 0.2500 0.5000
Cl1 0.5300 0.1250 0.2500
Cl2 0.2200 0.6250 0.2500
Cl3 0.3750 0.4700 0.7500
Cl4 0.8750 0.7800 0.7500

energy relative to the elements, uncorrected	-664	meV per atom
calculated volume	29.280	Å³/atom

=====

# 3
Entry from Alexandria: LiTaFe3 after structural relaxation (PBE-GGA).

a = 3.9358 Å, b = 3.9358 Å, c = 3.9358 Å
α = 90.00°, β = 90.00°, γ = 90.00°
Positions (direct):
Li1 0.0000 0.0000 0.0000
Fe1 0.0000 0.5000 0.0000
Fe2 0.0000 0.0000 0.5000
Fe3 0.5000 0.0000 0.0000
Ta1 0.5000 0.5000 0.5000

calculated volume	12.194	Å³/atom
energy relative to the elements	17.23	kcal/mol of atoms

=====

# 4
Entry from Alexandria: LiBiI6 after structural relaxation (PBE-GGA).

a = 8.0114 Å, b = 7.5105 Å, c = 7.8184 Å
α = 53.20°, β = 66.83°, γ = 65.47°
Positions (direct):
Li1 0.0000 0.0000 0.0000
Bi1 0.5000 0.5000 0.5000
I1 0.1003 0.4288 0.7453
I2 0.7598 0.0529 0.7855
I3 0.5165 0.2667 0.2601
I4 0.2402 0.9471 0.2145
I5 0.8997 0.5712 0.2547
I6 0.4835 0.7333 0.7399

energy relative to the elements, uncorrected	-355	meV per atom
calculated volume	41.981	Å³/atom

=====

# 5
Entry from Alexandria: Pm5SbSe4 after structural relaxation (PBE-GGA).

a = 4.2628 Å, b = 6.0229 Å, c = 11.2759 Å
α = 105.49°, β = 100.90°, γ = 90.00°
Positions (direct):
Pm1 0.6054 0.1054 0.2108
Pm2 0.8008 0.3008 0.6016
Pm3 0.1992 0.6992 0.3984
Pm4 0.0000 0.5000 0.0000
Pm5 0.3946 0.8946 0.7892
Sb1 0.0000 0.0000 0.0000
Se1 0.3994 0.3994 0.7987
Se2 0.7969 0.7969 0.5938
Se3 0.2031 0.2031 0.4062
Se4 0.6006 0.6006 0.2013

energy relative to the elements, uncorrected	-1701	meV per atom
calculated volume	27.357	Å³/atom

=====

# 6
Entry from Alexandria: Hg2HPd3 after structural relaxation (PBE-GGA).

a = 6.0275 Å, b = 6.0275 Å, c = 7.9094 Å
α = 79.30°, β = 132.79°, γ = 110.63°
Positions (direct):
Hg1 0.6108 0.0000 0.3120
Hg2 0.3892 0.0000 0.6880
Hg3 0.8120 0.7011 0.8120
Hg4 0.1880 0.2989 0.1880
H1 0.7943 0.5443 0.2500
H2 0.2057 0.4557 0.7500
Pd1 0.8167 0.6029 0.4864
Pd2 0.1833 0.3971 0.5136
Pd3 0.6166 0.3303 0.0136
Pd4 0.9404 0.1904 0.7500
Pd5 0.3834 0.6697 0.9864
Pd6 0.0596 0.8096 0.2500

calculated volume	16.396	Å³/atom
raw total energy	-39.7	eV/cell

=====

# 7
Entry from Alexandria: LaPmPrZn after structural relaxation (PBE-GGA).

a = 5.5469 Å, b = 5.5469 Å, c = 5.5469 Å
α = 60.00°, β = 60.00°, γ = 60.00°
Positions (direct):
Pr1 0.7500 0.7500 0.7500
Zn1 0.0000 0.0000 0.0000
La1 0.2500 0.2500 0.2500
Pm1 0.5000 0.5000 0.5000

calculated volume	30.170	Å³/atom
energy relative to the elements	1.01	kcal/mol of atoms

=====

# 8
Entry from Alexandria: NbTcCF2 after structural relaxation (PBE-GGA).

a = 3.7147 Å, b = 5.4324 Å, c = 3.7147 Å
α = 90.00°, β = 90.00°, γ = 90.00°
Positions (direct):
C1 0.5000 0.5000 0.5000
Nb1 0.0000 0.5000 0.0000
Tc1 0.0000 0.0000 0.0000
F1 0.0000 0.0000 0.5000
F2 0.5000 0.0000 0.0000

energy relative to the elements, uncorrected	243	meV per atom
calculated volume	14.992	Å³/atom

=====

# 9
Entry from Alexandria: YCr2C after structural relaxation (PBE-GGA).

a = 5.8293 Å, b = 5.8293 Å, c = 5.8264 Å
α = 59.98°, β = 59.98°, γ = 90.00°
Positions (direct):
Y1 0.0000 0.0000 0.0000
Y2 0.7500 0.2500 0.5000
Cr1 0.3752 0.1250 0.2500
Cr2 0.3748 0.6250 0.2500
Cr3 0.3750 0.6248 0.7500
Cr4 0.8750 0.6252 0.7500
C1 0.5000 0.5000 0.0000
C2 0.2500 0.7500 0.5000

calculated volume	17.491	Å³/atom
energy relative to the elements	11.70	kcal/mol of atoms

=====

# 10
Entry from Alexandria: KCe2HoTe4 after structural relaxation (PBE-GGA).

a = 4.4856 Å, b = 7.8914 Å, c = 7.9182 Å
α = 71.38°, β = 90.00°, γ = 90.00°
Positions (direct):
K1 0.5000 0.5000 0.0000
Ce1 0.0000 0.0000 0.0000
Ce2 0.5000 0.0000 0.5000
Ho1 0.0000 0.5000 0.5000
Te1 0.0000 0.7547 0.7339
Te2 0.0000 0.2453 0.2661
Te3 0.5000 0.7434 0.2634
Te4 0.5000 0.2566 0.7366

energy relative to the elements, uncorrected	-1286	meV per atom
calculated volume	33.202	Å³/atom

=====

# 11
Entry from Alexandria: MgTaFeNi after structural relaxation (PBE-GGA).

a = 4.2868 Å, b = 4.2868 Å, c = 4.2868 Å
α = 60.00°, β = 60.00°, γ = 60.00°
Positions (direct):
Ni1 0.0000 0.0000 0.0000
Mg1 0.7500 0.7500 0.7500
Fe1 0.5000 0.5000 0.5000
Ta1 0.2500 0.2500 0.2500

calculated volume	13.926	Å³/atom
energy relative to the elements	-1.16	kcal/mol of atoms

=====

# 12
Entry from Alexandria: CeDyInAg after structural relaxation (PBE-GGA).

a = 5.3275 Å, b = 5.3275 Å, c = 5.3275 Å
α = 60.00°, β = 60.00°, γ = 60.00°
Positions (direct):
In1 0.5000 0.5000 0.5000
Ag1 0.0000 0.0000 0.0000
Ce1 0.2500 0.2500 0.2500
Dy1 0.7500 0.7500 0.7500

calculated volume	26.730	Å³/atom
energy relative to the elements	-6.19	kcal/mol of atoms